Entry from Alexandria: crystalline Ba2Tl6Pd at its relaxed geometry (PBE-GGA).

It has space group Fm-3m (No. 225), with a = 10.410 Å, b = 10.410 Å, c = 10.410 Å, α = 90.00°, β = 90.00° and γ = 90.00°. Symmetry generates all atoms from Ba at (0.250, 0.250, 0.250), Tl at (0.000, 0.000, 0.226) and Pd at (0.000, 0.000, 0.500).

As for the crystal system: cubic. For the formation energy, the calculation gives -0.2747 eV per atom. The raw total energy comes out at -102.834 eV/cell.